The following is a PBE-GGA calculation of a relaxed Cd3Bi2 crystal, from Alexandria via LeMat-Bulk.

Geometry as POSCAR:
```
Cd3Bi2
1.0
6.1655 0.0000 0.0000
3.0827 7.7419 1.4654
3.0827 3.5058 6.9339
Cd Bi
6 4
direct
0.0112 0.7500 0.2500 Cd
0.7797 0.4676 0.9706 Cd
0.2179 0.0324 0.5294 Cd
0.7821 0.9676 0.4706 Cd
0.9888 0.2500 0.7500 Cd
0.2203 0.5324 0.0294 Cd
0.2290 0.1126 0.1010 Bi
0.7710 0.8874 0.8990 Bi
0.4427 0.3874 0.3990 Bi
0.5573 0.6126 0.6010 Bi
```

ΔE_f = 34.4 meV/atom
Space-group type = C2/c
Uncorrected energy = -20.7 eV for the cell shown
Crystal system = monoclinic